# 1
{"formula": "CsNb3Cu", "functional": "PBE", "state": "relaxed", "lattice_angstrom": [[5.0121, 0.0000, 0.0000], [0.0000, 5.0121, 0.0000], [0.0000, 0.0000, 5.0121]], "species": ["Cu", "Cs", "Nb", "Nb", "Nb"], "fractional_positions": [[0.5000, 0.5000, 0.5000], [0.0000, 0.0000, 0.0000], [0.0000, 0.0000, 0.5000], [0.5000, 0.0000, 0.0000], [0.0000, 0.5000, 0.0000]], "dos_at_fermi_per_ev_atom": 2.07, "delta_e_f_ev_per_atom": 2.849}

***

# 2
{"formula": "CaTi3W", "functional": "PBE", "state": "relaxed", "lattice_angstrom": [[-0.9732, 1.2360, -4.1986], [-3.8508, -2.2860, 0.2196], [-2.0801, 3.6537, 1.5577]], "species": ["Ti", "Ti", "W", "Ti", "Ca"], "fractional_positions": [[0.0000, 0.0000, 0.5000], [0.0000, 0.5000, 0.0000], [0.5000, 0.5000, 0.5000], [0.5000, 0.0000, 0.0000], [0.0000, 0.0000, 0.0000]], "dos_at_fermi_per_ev_atom": 1.41, "delta_e_f_ev_per_atom": 1.962}

***

What did the second record say?
{"formula": "CaTi3W", "functional": "PBE", "state": "relaxed", "lattice_angstrom": [[-0.9732, 1.2360, -4.1986], [-3.8508, -2.2860, 0.2196], [-2.0801, 3.6537, 1.5577]], "species": ["Ti", "Ti", "W", "Ti", "Ca"], "fractional_positions": [[0.0000, 0.0000, 0.5000], [0.0000, 0.5000, 0.0000], [0.5000, 0.5000, 0.5000], [0.5000, 0.0000, 0.0000], [0.0000, 0.0000, 0.0000]], "dos_at_fermi_per_ev_atom": 1.41, "delta_e_f_ev_per_atom": 1.962}